Compound: HfScO2
Source: Alexandria via LeMat-Bulk
Functional: PBE-GGA
Structure: optimized geometry

Cell lengths 5.579, 5.579, 5.579 Å; angles 90.00, 90.00, 90.00 degrees
Fractional positions:
Hf: 0.000 0.000 0.000
Hf: 0.000 0.500 0.500
Hf: 0.500 0.000 0.500
Hf: 0.500 0.500 0.000
Sc: 0.000 0.000 0.500
Sc: 0.000 0.500 0.000
Sc: 0.500 0.000 0.000
Sc: 0.500 0.500 0.500
O: 0.250 0.250 0.250
O: 0.250 0.250 0.750
O: 0.250 0.750 0.250
O: 0.250 0.750 0.750
O: 0.750 0.250 0.250
O: 0.750 0.250 0.750
O: 0.750 0.750 0.250
O: 0.750 0.750 0.750

* total DFT energy (no corrections): -135.63 eV for the cell shown
* SG: No. 225
* Fermi-level density of states: 1.3 states/eV/f.u.